Record 1
Computed, not measured: a geometry-optimized MoPt5Rh structure at the PBE-GGA level of DFT.

a b c (Å): 7.8509 7.8508 5.9853
angles (deg): 121.04 102.69 116.07
Positions (direct):
Mo 0.0000 0.0000 0.0000
Mo 0.5000 0.0000 0.5000
Pt 0.9346 0.3245 0.0323
Pt 0.1962 0.7947 0.6242
Pt 0.2077 0.0976 0.5323
Pt 0.4296 0.1796 0.2500
Pt 0.6706 0.5721 0.8758
Pt 0.3294 0.4279 0.1242
Pt 0.5704 0.8204 0.7500
Pt 0.7923 0.9024 0.4677
Pt 0.8038 0.2053 0.3758
Pt 0.0654 0.6755 0.9677
Rh 0.7348 0.4848 0.2500
Rh 0.2652 0.5152 0.7500

Calculated values
**Final energy**: -6.795 eV per atom
**Energy relative to the elements**: 0.12 eV per atom

***

Record 2
Computed, not measured: a geometry-optimized VB3Br structure at the PBE-GGA level of DFT.

a b c (Å): 4.0853 4.0853 4.0853
angles (deg): 90.00 90.00 90.00
Each line ends with the local moment (μB).
Positions (direct):
B 0.0000 0.5000 0.0000  -0.06
B 0.0000 0.0000 0.5000  -0.06
B 0.5000 0.0000 0.0000  -0.06
Br 0.0000 0.0000 0.0000  0.01
V 0.5000 0.5000 0.5000  2.12

Calculated values
**Offset from the most stable computed form**: 3.75 eV/f.u.
**Final energy**: -3.609 eV per atom
**ΔE_f (raw)**: 2.555 eV/atom

***

Record 3
Computed, not measured: a geometry-optimized TlOsN2O structure at the PBE-GGA level of DFT.

a b c (Å): 4.2625 4.2625 4.0608
angles (deg): 90.00 90.00 90.00
Each line ends with the local moment (μB).
Positions (direct):
Tl 0.0000 0.0000 0.0000  -0.01
Os 0.5000 0.5000 0.5000  3.03
O 0.0000 0.0000 0.5000  0.23
N 0.0000 0.5000 0.0000  -0.05
N 0.5000 0.0000 0.0000  -0.05

Calculated values
**Final energy**: -4.429 eV per atom
**ΔE_f (raw)**: 2.612 eV/atom

***

Record 4
Computed, not measured: a geometry-optimized ScTeOs structure at the PBE-GGA level of DFT.

a b c (Å): 5.0821 5.0821 5.0821
angles (deg): 141.33 133.68 61.87
Positions (direct):
Os 0.9803 0.9803 0.0000
Sc 0.3482 0.3482 0.0000
Te 0.6715 0.6715 0.0000

Calculated values
**Final energy**: -6.860 eV per atom
**ΔE_f (raw)**: 0.041 eV/atom

***

Record 5
Computed, not measured: a geometry-optimized PrPuUO6 structure at the PBE-GGA level of DFT.

a b c (Å): 5.9627 5.9627 9.2393
angles (deg): 90.00 90.00 120.00
Each line ends with the local moment (μB).
Positions (direct):
Pr 0.3333 0.6667 0.2500  0.02
Pr 0.6667 0.3333 0.7500  0.02
Pu 0.0000 0.0000 0.0000  4.63
Pu 0.0000 0.0000 0.5000  4.63
U 0.6667 0.3333 0.2500  0.53
U 0.3333 0.6667 0.7500  0.53
O 0.6808 0.6448 0.1300  -0.04
O 0.9640 0.3192 0.1300  -0.04
O 0.3192 0.9640 0.6300  -0.04
O 0.0360 0.6808 0.8700  -0.04
O 0.3552 0.3192 0.3700  -0.04
O 0.9640 0.6448 0.3700  -0.04
O 0.6448 0.9640 0.8700  -0.04
O 0.6808 0.0360 0.3700  -0.04
O 0.0360 0.3552 0.6300  -0.04
O 0.3552 0.0360 0.1300  -0.04
O 0.6448 0.6808 0.6300  -0.04
O 0.3192 0.3552 0.8700  -0.04

Calculated values
**Final energy**: -9.787 eV per atom
**ΔE_f (raw)**: -3.104 eV/atom

***

Record 6
Computed, not measured: a geometry-optimized Pm2Er3TmS6 structure at the PBE-GGA level of DFT.

a b c (Å): 3.8988 7.8894 8.7588
angles (deg): 103.31 102.86 90.00
Positions (direct):
Pm 0.8320 0.6639 0.6640
Pm 0.1680 0.3361 0.3360
Er 0.5000 0.5000 0.0000
Er 0.8306 0.1668 0.6612
Er 0.1694 0.8332 0.3388
Tm 0.5000 0.0000 0.0000
S 0.3353 0.9282 0.6705
S 0.6624 0.5925 0.3249
S 0.6647 0.0718 0.3295
S 0.9959 0.2458 0.9918
S 0.0041 0.7542 0.0082
S 0.3376 0.4075 0.6751

Calculated values
**Final energy**: -6.345 eV per atom
**ΔE_f (raw)**: -1.976 eV/atom

***

Record 7
Computed, not measured: a geometry-optimized LiScRu2 structure at the PBE-GGA level of DFT.

a b c (Å): 2.8205 3.9556 5.4465
angles (deg): 90.00 90.00 90.00
Positions (direct):
Li 0.5000 0.5000 0.7500
Ru 0.0000 0.0000 0.9718
Ru 0.0000 0.0000 0.5282
Sc 0.5000 0.5000 0.2500

Calculated values
**Final energy**: -6.655 eV per atom
**Energy relative to the elements**: 0.04 eV per atom

***

Record 8
Computed, not measured: a geometry-optimized Y3Ho2Ni2 structure at the PBE-GGA level of DFT.

a b c (Å): 3.5946 6.3475 8.9953
angles (deg): 114.95 90.00 106.45
Positions (direct):
Y 0.5000 0.0000 0.0000
Y 0.6144 0.2287 0.4316
Y 0.3856 0.7713 0.5684
Ho 0.8306 0.6611 0.1885
Ho 0.1694 0.3389 0.8115
Ni 0.8240 0.6481 0.7625
Ni 0.1760 0.3519 0.2375

Calculated values
**Final energy**: -5.977 eV per atom
**Energy relative to the elements**: -0.25 eV per atom

***

Record 9
Computed, not measured: a geometry-optimized Tm6Cd3Ir structure at the PBE-GGA level of DFT.

a b c (Å): 5.1964 8.9975 11.3082
angles (deg): 108.63 90.00 90.00
Positions (direct):
Tm 0.2500 0.4662 0.0842
Tm 0.7500 0.5338 0.9158
Tm 0.2500 0.1246 0.1527
Tm 0.7500 0.8754 0.8473
Tm 0.2500 0.6888 0.6660
Tm 0.7500 0.3112 0.3340
Tm 0.2500 0.2208 0.4969
Tm 0.7500 0.7792 0.5031
Tm 0.2500 0.8489 0.3312
Tm 0.7500 0.1511 0.6688
Tm 0.2500 0.1102 0.8521
Tm 0.7500 0.8898 0.1479
Cd 0.2500 0.5090 0.3705
Cd 0.7500 0.4910 0.6295
Cd 0.2500 0.4145 0.7803
Cd 0.7500 0.5855 0.2197
Cd 0.2500 0.7720 0.9750
Cd 0.7500 0.2280 0.0250
Ir 0.2500 0.9594 0.5950
Ir 0.7500 0.0406 0.4050

Calculated values
**Final energy**: -4.217 eV per atom
**Energy relative to the elements**: -0.37 eV per atom

***

Record 10
Computed, not measured: a geometry-optimized SrNd14Dy structure at the PBE-GGA level of DFT.

a b c (Å): 7.4206 7.4206 10.3953
angles (deg): 90.00 90.00 90.00
Positions (direct):
Sr 0.8750 0.8750 0.5000
Nd 0.8750 0.8750 0.0000
Nd 0.3750 0.3750 0.0000
Nd 0.8750 0.3750 0.5000
Nd 0.8750 0.3750 0.0000
Nd 0.3750 0.8750 0.5000
Nd 0.3750 0.8750 0.0000
Nd 0.6188 0.1312 0.2464
Nd 0.6188 0.1312 0.7536
Nd 0.1312 0.6188 0.2464
Nd 0.1312 0.6188 0.7536
Nd 0.6187 0.6187 0.2464
Nd 0.6187 0.6187 0.7536
Nd 0.1313 0.1313 0.2465
Nd 0.1313 0.1313 0.7535
Dy 0.3750 0.3750 0.5000

Calculated values
**Final energy**: -4.520 eV per atom
**Energy relative to the elements**: 0.04 eV per atom

***

Record 11
Computed, not measured: a geometry-optimized Cs2K6AuO structure at the PBE-GGA level of DFT.

a b c (Å): 7.5504 7.5487 11.9627
angles (deg): 108.39 108.40 89.83
Positions (direct):
Cs 0.8291 0.3293 0.6582
Cs 0.3289 0.8295 0.6582
K 0.7803 0.7808 0.0274
K 0.6825 0.6830 0.3643
K 0.2478 0.2483 0.0281
K 0.7791 0.2450 0.0234
K 0.1561 0.1566 0.3132
K 0.2445 0.7796 0.0234
Au 0.4109 0.4115 0.8221
O 0.0398 0.0403 0.0798

Calculated values
**Final energy**: -1.984 eV per atom
**ΔE_f (raw)**: -0.331 eV/atom

***

Record 12
Computed, not measured: a geometry-optimized Er8Sb2Ru3 structure at the PBE-GGA level of DFT.

a b c (Å): 8.8839 8.8839 4.8356
angles (deg): 90.00 90.00 114.29
Positions (direct):
Er 0.3932 0.6068 0.0000
Er 0.6068 0.3932 0.0000
Er 0.8892 0.1108 0.0000
Er 0.1108 0.8892 0.0000
Er 0.8639 0.6473 0.5000
Er 0.3527 0.1361 0.5000
Er 0.6473 0.8639 0.5000
Er 0.1361 0.3527 0.5000
Sb 0.7431 0.2569 0.5000
Sb 0.2569 0.7431 0.5000
Ru 0.0000 0.0000 0.5000
Ru 0.2478 0.2478 0.0000
Ru 0.7522 0.7522 0.0000

Calculated values
**Final energy**: -6.127 eV per atom
**ΔE_f (raw)**: -0.544 eV/atom

***

Record 13
Computed, not measured: a geometry-optimized EuHoEr2 structure at the PBE-GGA level of DFT.

a b c (Å): 5.6964 5.6964 5.6964
angles (deg): 60.00 60.00 60.00
Each line ends with the local moment (μB).
Positions (direct):
Eu 0.0000 0.0000 0.0000  6.88
Ho 0.5000 0.5000 0.5000  0.18
Er 0.2500 0.2500 0.2500  0.20
Er 0.7500 0.7500 0.7500  0.20

Calculated values
**Offset from the most stable computed form**: 0.41 eV/f.u.
**Final energy**: -5.826 eV per atom
**Energy relative to the elements**: 0.17 eV per atom

***

Record 14
Computed, not measured: a geometry-optimized Sr2CrAg structure at the PBE-GGA level of DFT.

a b c (Å): 8.2776 8.2776 8.2776
angles (deg): 32.88 32.88 32.88
Each line ends with the local moment (μB).
Positions (direct):
Ag 0.4578 0.4578 0.4578  0.06
Cr 0.7921 0.7921 0.7921  3.87
Sr 0.0348 0.0348 0.0348  0.02
Sr 0.2152 0.2152 0.2152  0.02

Calculated values
**Offset from the most stable computed form**: 0.19 eV/f.u.
**Final energy**: -3.721 eV per atom
**Energy relative to the elements**: 0.24 eV per atom

***

Record 15
Computed, not measured: a geometry-optimized RbTmGeTe3 structure at the PBE-GGA level of DFT.

a b c (Å): 4.2902 9.4872 11.9128
angles (deg): 111.57 90.00 90.00
Positions (direct):
Rb 0.2500 0.2312 0.2784
Rb 0.7500 0.7688 0.7216
Tm 0.2500 0.6331 0.1576
Tm 0.7500 0.3669 0.8424
Ge 0.2500 0.1175 0.5537
Ge 0.7500 0.8825 0.4463
Te 0.7500 0.8830 0.2197
Te 0.2500 0.1170 0.7803
Te 0.2500 0.6750 0.4274
Te 0.7500 0.3250 0.5726
Te 0.7500 0.3913 0.1035
Te 0.2500 0.6087 0.8965

Calculated values
**Final energy**: -4.182 eV per atom
**ΔE_f (raw)**: -0.935 eV/atom

***

Record 16
Computed, not measured: a geometry-optimized NdTm7Tl4 structure at the PBE-GGA level of DFT.

a b c (Å): 5.7290 9.0668 7.9618
angles (deg): 68.93 68.91 71.58
Positions (direct):
Nd 0.0000 0.0000 0.0000
Tm 0.7973 0.8769 0.5284
Tm 0.2027 0.1231 0.4716
Tm 0.0704 0.5888 0.2704
Tm 0.9296 0.4112 0.7296
Tm 0.2587 0.6948 0.7877
Tm 0.5000 0.0000 0.0000
Tm 0.7413 0.3052 0.2123
Tl 0.5481 0.2868 0.6170
Tl 0.4519 0.7132 0.3830
Tl 0.6855 0.6631 0.9659
Tl 0.3145 0.3369 0.0341

Calculated values
**Final energy**: -3.782 eV per atom
**Energy relative to the elements**: 0.01 eV per atom

***

Record 17
Computed, not measured: a geometry-optimized La2SiBC structure at the PBE-GGA level of DFT.

a b c (Å): 3.7394 6.4559 8.6568
angles (deg): 109.14 90.00 90.00
Positions (direct):
La 0.7500 0.7822 0.6022
La 0.7500 0.7754 0.0383
La 0.2500 0.2178 0.3978
La 0.2500 0.2246 0.9617
Si 0.2500 0.6375 0.2908
Si 0.7500 0.3625 0.7092
B 0.2500 0.5591 0.7586
B 0.7500 0.4409 0.2414
C 0.2500 0.8092 0.8255
C 0.7500 0.1908 0.1745

Calculated values
**Offset from the most stable computed form**: 0.00 eV/f.u.
**Final energy**: -6.705 eV per atom
**ΔE_f (raw)**: -0.469 eV/atom

***

Record 18
Computed, not measured: a geometry-optimized LaZr2Ti2 structure at the PBE-GGA level of DFT.

a b c (Å): 4.2788 4.2788 7.3079
angles (deg): 72.98 72.98 90.00
Positions (direct):
Ti 0.4037 0.4037 0.1925
Ti 0.5963 0.5963 0.8075
Zr 0.7500 0.2500 0.5000
Zr 0.2500 0.7500 0.5000
La 0.0000 0.0000 0.0000

Calculated values
**Offset from the most stable computed form**: 0.78 eV/f.u.
**Final energy**: -7.221 eV per atom
**Energy relative to the elements**: 0.34 eV per atom

***

Record 19
Computed, not measured: a geometry-optimized Mn2CrNiB structure at the PBE-GGA level of DFT.

a b c (Å): 3.7703 3.8380 3.7703
angles (deg): 90.00 90.00 90.00
Positions (direct):
Ni 0.5000 0.5000 0.5000
B 0.0000 0.0000 0.0000
Mn 0.0000 0.0000 0.5000
Mn 0.5000 0.0000 0.0000
Cr 0.0000 0.5000 0.0000

Calculated values
**Final energy**: -7.772 eV per atom
**Energy relative to the elements**: 0.31 eV per atom

***

Record 20
Computed, not measured: a geometry-optimized SmHoTm2 structure at the PBE-GGA level of DFT.

a b c (Å): 3.5330 3.5330 9.9856
angles (deg): 90.00 90.00 90.00
Positions (direct):
Tm 0.0000 0.0000 0.7532
Tm 0.0000 0.0000 0.2468
Ho 0.5000 0.5000 0.0000
Sm 0.5000 0.5000 0.5000

Calculated values
**Offset from the most stable computed form**: 0.06 eV/f.u.
**Final energy**: -4.535 eV per atom
**Energy relative to the elements**: 0.03 eV per atom

***

Record 21
Computed, not measured: a geometry-optimized Sr3CdSn structure at the PBE-GGA level of DFT.

a b c (Å): 5.7123 5.7189 11.8459
angles (deg): 90.00 76.05 90.00
Positions (direct):
Sr 0.7507 0.2500 0.1470
Sr 0.3983 0.2500 0.8517
Sr 0.5744 0.2500 0.4995
Sr 0.2500 0.7500 0.1483
Sr 0.8977 0.7500 0.8530
Sr 0.0739 0.7500 0.5005
Cd 0.6661 0.7500 0.3161
Cd 0.9822 0.2500 0.6839
Sn 0.4859 0.7500 0.6765
Sn 0.1624 0.2500 0.3235

Calculated values
**Offset from the most stable computed form**: 0.00 eV/f.u.
**Final energy**: -2.434 eV per atom
**Energy relative to the elements**: -0.44 eV per atom

***

Record 22
Computed, not measured: a geometry-optimized KRe2SnP structure at the PBE-GGA level of DFT.

a b c (Å): 5.0193 5.2926 5.0193
angles (deg): 90.00 90.00 90.00
Each line ends with the local moment (μB).
Positions (direct):
Re 0.0000 0.0000 0.5000  2.19
Re 0.5000 0.0000 0.0000  2.03
K 0.5000 0.5000 0.5000  0.01
Sn 0.0000 0.0000 0.0000  -0.06
P 0.0000 0.5000 0.0000  -0.05

Calculated values
**Final energy**: -4.948 eV per atom
**Energy relative to the elements**: 2.13 eV per atom

***

Record 23
Computed, not measured: a geometry-optimized SrCuOs2 structure at the PBE-GGA level of DFT.

a b c (Å): 4.2890 4.2890 6.0273
angles (deg): 69.15 69.15 60.00
Positions (direct):
Cu 0.3022 0.3022 0.0936
Os 0.0105 0.0105 0.9686
Os 0.6889 0.6889 0.9336
Sr 0.4984 0.4984 0.5042

Calculated values
**Offset from the most stable computed form**: 0.00 eV/f.u.
**Final energy**: -6.903 eV per atom
**Energy relative to the elements**: 0.16 eV per atom

***

Record 24
Computed, not measured: a geometry-optimized DyTmRuAu structure at the PBE-GGA level of DFT.

a b c (Å): 3.4131 3.4131 7.2432
angles (deg): 90.00 90.00 90.00
Positions (direct):
Dy 0.5000 0.5000 0.6281
Tm 0.5000 0.5000 0.0874
Ru 0.0000 0.0000 0.8617
Au 0.0000 0.0000 0.3507

Calculated values
**Offset from the most stable computed form**: 0.00 eV/f.u.
**Final energy**: -6.093 eV per atom
**Energy relative to the elements**: -0.69 eV per atom